[1]
The following is a DFT calculation (GGA-PBE) of a relaxed structure of Ac2HfN3.

Computed properties:
total magnetization: 0.00 μB per cell
space-group type: No. 15
calculated total energy: -8.4606 eV per atom

```
Ac2HfN3
1.0
5.989 0.000 0.368
2.995 5.886 0.184
-0.136 0.000 12.929
Ac Hf N
8 4 12
Direct
0.574 0.397 0.357
0.029 0.397 0.143
0.426 0.603 0.643
0.971 0.603 0.857
0.343 0.767 0.073
0.890 0.767 0.427
0.657 0.233 0.927
0.110 0.233 0.573
0.718 0.994 0.169
0.288 0.994 0.331
0.282 0.006 0.831
0.712 0.006 0.669
0.624 0.752 0.250
0.376 0.248 0.750
0.507 0.336 0.121
0.157 0.336 0.379
0.493 0.664 0.879
0.843 0.664 0.621
0.693 0.205 0.543
0.102 0.205 0.957
0.307 0.795 0.457
0.898 0.795 0.043
0.992 0.015 0.250
0.008 0.985 0.750
```


[2]
The following is a DFT calculation (GGA-PBE) of a relaxed structure of AcHfN2.

Computed properties:
total magnetization: 0.00 μB per cell
space-group type: No. 166
calculated total energy: -9.0617 eV per atom

```
AcHfN2
1.0
-0.798 -3.148 1.010
2.235 -1.827 1.798
-1.847 0.592 6.113
Ac Hf N
1 1 2
Direct
0.500 0.500 0.500
0.000 0.000 0.000
0.269 0.269 0.192
0.731 0.731 0.808
```


[3]
The following is a DFT calculation (GGA-PBE) of a relaxed structure of Ac2HfN.

Computed properties:
total magnetization: 0.01 μB per cell
space-group type: No. 166
calculated total energy: -6.5876 eV per atom

```
Ac2HfN
1.0
3.582 0.000 0.000
1.791 3.102 0.000
1.791 1.034 9.974
Ac Hf N
2 1 1
Direct
0.114 0.114 0.659
0.886 0.886 0.341
0.000 0.000 0.000
0.500 0.500 0.500
```


[4]
The following is a DFT calculation (GGA-PBE) of a relaxed structure of AcHfN2.

Computed properties:
total magnetization: 0.00 μB per cell
space-group type: No. 47
calculated total energy: -8.7020 eV per atom

```
AcHfN2
1.0
3.167 0.000 0.000
0.000 3.504 0.110
0.000 -0.189 6.075
Ac Hf N
1 1 2
Direct
0.500 0.000 0.500
0.500 0.500 0.000
0.000 0.500 0.245
0.000 0.500 0.755
```


Which value of total magnetization does entry 2 give? 0.00 μB per cell


Which value of calculated total energy does entry 4 give? -8.7020 eV per atom